1.
A geometry-optimized Ba2SrBr6 structure, computed with PBE.

Properties
D(E_F): 0.000 states/eV/atom
energy: -69.6 eV for the cell shown
total magnetic moment: 0.0 Bohr magnetons per cell
space-group type: P2_1/c (14)
formation energy (no corrections): -2139 meV/atom

The structure in POSCAR format:
```
Ba2SrBr6
1.0
7.925 0.000 0.000
0.000 8.140 0.000
-6.000 0.000 11.455
Ba Sr Br
4 2 12
Direct
0.174 0.094 0.224 Ba
0.174 0.406 0.724 Ba
0.826 0.594 0.276 Ba
0.826 0.906 0.776 Ba
0.500 0.000 0.000 Sr
0.500 0.500 0.500 Sr
0.134 0.188 0.943 Br
0.134 0.312 0.443 Br
0.226 0.702 0.907 Br
0.226 0.798 0.407 Br
0.440 0.083 0.759 Br
0.440 0.417 0.259 Br
0.560 0.583 0.741 Br
0.560 0.917 0.241 Br
0.774 0.202 0.593 Br
0.774 0.298 0.093 Br
0.866 0.688 0.557 Br
0.866 0.812 0.057 Br
```

***

2.
A geometry-optimized Pm8Os2Rh structure, computed with PBE.

Properties
D(E_F): 0.978 states/eV/atom
energy: -69.8 eV for the cell shown
energy of formation: -0.183 eV/atom
total magnetic moment: 0.0 Bohr magnetons per cell
space-group type: C2/m (12)

The structure in POSCAR format:
```
Pm8Os2Rh
1.0
9.030 -2.396 0.000
9.030 2.396 0.000
-1.867 0.000 6.942
Pm Os Rh
8 2 1
Direct
0.027 0.027 0.286 Pm
0.206 0.206 0.816 Pm
0.331 0.331 0.531 Pm
0.400 0.400 0.023 Pm
0.600 0.600 0.977 Pm
0.669 0.669 0.469 Pm
0.794 0.794 0.184 Pm
0.973 0.973 0.714 Pm
0.186 0.186 0.207 Os
0.814 0.814 0.793 Os
0.500 0.500 0.500 Rh
```

***

3.
A geometry-optimized In2SbSe structure, computed with PBE.

Properties
D(E_F): 1.153 states/eV/atom
energy: -12.7 eV for the cell shown
total magnetic moment: 0.0 Bohr magnetons per cell
space-group type: F-43m (216)
formation energy (no corrections): 99 meV/atom

The structure in POSCAR format:
```
In2SbSe
1.0
0.000 3.739 3.739
3.739 0.000 3.739
3.739 3.739 0.000
In Sb Se
2 1 1
Direct
0.000 0.000 0.000 In
0.250 0.250 0.250 In
0.500 0.500 0.500 Sb
0.750 0.750 0.750 Se
```

***

4.
A geometry-optimized ReP structure, computed with PBE.

Properties
D(E_F): 0.729 states/eV/atom
energy: -70.5 eV for the cell shown
energy of formation: 0.121 eV/atom
total magnetic moment: 0.0 Bohr magnetons per cell
space-group type: Fddd (70)

The structure in POSCAR format:
```
ReP
1.0
0.000 4.225 5.273
3.851 0.000 5.273
3.851 4.225 0.000
Re P
4 4
Direct
0.009 0.009 0.741 Re
0.259 0.259 0.991 Re
0.741 0.741 0.009 Re
0.991 0.991 0.259 Re
0.098 0.652 0.098 P
0.348 0.902 0.348 P
0.652 0.098 0.652 P
0.902 0.348 0.902 P
```

***

5.
A geometry-optimized KLiTl6 structure, computed with PBE.

Properties
D(E_F): 0.604 states/eV/atom
energy: -17.6 eV for the cell shown
energy of formation: -0.054 eV/atom
total magnetic moment: 0.0 Bohr magnetons per cell
space-group type: Pmm2 (25)

The structure in POSCAR format:
```
KLiTl6
1.0
5.203 0.000 0.000
0.000 8.042 0.000
0.000 0.000 5.788
K Li Tl
1 1 6
Direct
0.000 0.000 0.000 K
0.500 0.500 0.356 Li
0.000 0.286 0.507 Tl
0.000 0.500 0.025 Tl
0.000 0.714 0.507 Tl
0.500 0.000 0.428 Tl
0.500 0.278 0.880 Tl
0.500 0.722 0.880 Tl
```

***

6.
A geometry-optimized AcAl4Sn structure, computed with PBE.

Properties
D(E_F): 0.781 states/eV/atom
energy: -23.7 eV for the cell shown
energy of formation: -0.109 eV/atom
total magnetic moment: 0.0 Bohr magnetons per cell
space-group type: F-43m (216)

The structure in POSCAR format:
```
AcAl4Sn
1.0
0.000 4.095 4.095
4.095 0.000 4.095
4.095 4.095 0.000
Ac Al Sn
1 4 1
Direct
0.000 0.000 0.000 Ac
0.129 0.624 0.624 Al
0.624 0.129 0.624 Al
0.624 0.624 0.129 Al
0.624 0.624 0.624 Al
0.250 0.250 0.250 Sn
```

***

7.
A geometry-optimized MnGa2Cu4 structure, computed with PBE.

Properties
D(E_F): 0.386 states/eV/atom
energy: -31.6 eV for the cell shown
energy of formation: 0.000 eV/atom
total magnetic moment: 3.0 Bohr magnetons per cell
space-group type: Immm (71)

The structure in POSCAR format:
```
MnGa2Cu4
1.0
-1.302 2.005 8.818
1.302 -2.005 8.818
1.302 2.005 -8.818
Mn Ga Cu
1 2 4
Direct
0.000 0.000 0.000 Mn
0.419 0.419 0.000 Ga
0.581 0.581 0.000 Ga
0.144 0.144 0.000 Cu
0.272 0.772 0.500 Cu
0.728 0.228 0.500 Cu
0.856 0.856 0.000 Cu
```

***

8.
A geometry-optimized La2HgN structure, computed with PBE.

Properties
D(E_F): 1.101 states/eV/atom
energy: -20.6 eV for the cell shown
total magnetic moment: 0.0 Bohr magnetons per cell
space-group type: P4/mmm (123)
formation energy (no corrections): -522 meV/atom

The structure in POSCAR format:
```
La2HgN
1.0
3.250 0.000 0.000
0.000 3.250 0.000
0.000 0.000 8.267
La Hg N
2 1 1
Direct
0.000 0.000 0.181 La
0.000 0.000 0.819 La
0.500 0.500 0.500 Hg
0.500 0.500 0.000 N
```

***

9.
A geometry-optimized BaTcBr2 structure, computed with PBE.

Properties
D(E_F): 0.564 states/eV/atom
energy: -17.0 eV for the cell shown
total magnetic moment: 3.0 Bohr magnetons per cell
space-group type: C2/m (12)
formation energy (no corrections): -349 meV/atom

The structure in POSCAR format:
```
BaTcBr2
1.0
6.703 -2.160 0.000
6.703 2.160 0.000
-0.367 0.000 5.347
Ba Tc Br
1 1 2
Direct
0.000 0.000 0.000 Ba
0.500 0.500 0.500 Tc
0.338 0.338 0.245 Br
0.662 0.662 0.755 Br
```

***

10.
A geometry-optimized PrSiGe structure, computed with PBE.

Properties
D(E_F): 0.865 states/eV/atom
energy: -16.4 eV for the cell shown
total magnetic moment: 0.0 Bohr magnetons per cell
space-group type: P-6m2 (187)
formation energy (no corrections): -543 meV/atom

The structure in POSCAR format:
```
PrSiGe
1.0
4.319 0.000 0.000
-2.160 3.741 0.000
0.000 0.000 4.174
Pr Si Ge
1 1 1
Direct
0.000 0.000 0.000 Pr
0.333 0.667 0.500 Si
0.667 0.333 0.500 Ge
```

***

11.
A geometry-optimized TbPa2C structure, computed with PBE.

Properties
D(E_F): 1.862 states/eV/atom
energy: -33.2 eV for the cell shown
energy of formation: -0.095 eV/atom
total magnetic moment: 0.0 Bohr magnetons per cell
space-group type: R-3m (166)

The structure in POSCAR format:
```
TbPa2C
1.0
1.704 0.984 9.064
-1.704 0.984 9.064
0.000 -1.968 9.064
Tb Pa C
1 2 1
Direct
0.000 0.000 0.000 Tb
0.221 0.221 0.221 Pa
0.779 0.779 0.779 Pa
0.500 0.500 0.500 C
```

***

12.
A geometry-optimized ScBeCd structure, computed with PBE.

Properties
D(E_F): 1.227 states/eV/atom
energy: -9.0 eV for the cell shown
energy of formation: 0.657 eV/atom
total magnetic moment: 0.0 Bohr magnetons per cell
space-group type: F-43m (216)

The structure in POSCAR format:
```
ScBeCd
1.0
0.000 3.213 3.213
3.213 0.000 3.213
3.213 3.213 0.000
Sc Be Cd
1 1 1
Direct
0.000 0.000 0.000 Sc
0.250 0.250 0.250 Be
0.750 0.750 0.750 Cd
```